Record 1
18
Lattice="-5.037 1.777 1.466 0.436 -4.230 6.624 2.592 7.431 -0.102" Properties=species:S:1:pos:R:3 comment="GGA-PBE Li3AgAu5, optimized geometry" vol_a3_per_cell=297.2 spacegroup="P6_3/mcm (193)" relative_energy_mev_per_atom=0.0 delta_e_f_kj_per_mol_atoms=-36.7 magmom_total_mub_per_fu=0.00 pbc="T T T"
Li -2.744 2.425 3.326
Li -2.071 6.227 1.033
Li -3.491 -1.453 5.462
Li 0.735 2.553 4.662
Li 0.061 -1.249 6.956
Li -1.110 -1.000 2.628
Ag 0.000 0.000 0.000
Ag -2.519 0.888 0.733
Au 1.155 -0.343 4.382
Au -0.645 4.433 2.873
Au 1.873 3.544 2.140
Au -1.364 0.546 5.115
Au -1.737 3.491 5.497
Au -2.934 3.754 1.067
Au -3.636 -0.045 3.257
Au -0.273 1.487 2.491
Au 0.924 1.225 6.922
Au -0.965 -2.408 4.833

Record 2
4
Lattice="0.920 -4.366 2.290 -3.609 -2.244 2.663 -2.116 -4.217 -1.699" Properties=species:S:1:pos:R:3 comment="GGA-PBE KHf2Cr, optimized geometry" vol_a3_per_cell=89.2 spacegroup="Fm-3m (225)" relative_energy_mev_per_atom=0.0 delta_e_f_kj_per_mol_atoms=113.9 magmom_total_mub_per_fu=2.92 pbc="T T T"
Cr -2.402 -5.413 1.627
K 0.000 0.000 0.000
Hf -1.201 -2.707 0.814
Hf -3.604 -8.120 2.441

Record 3
12
Lattice="-3.501 -4.078 1.966 1.087 -2.113 -5.207 6.816 -1.480 3.955" Properties=species:S:1:pos:R:3 comment="GGA-PBE U3Si2Ir, optimized geometry" vol_a3_per_cell=243.7 spacegroup="C2/c (15)" raw_formation_energy_kj_per_mol_fu=-165 magmom_total_mub_per_fu=3.33 pbc="T T T"
U 1.266 -5.071 -0.656
U -0.207 -1.832 -0.710
U 3.136 -2.600 1.370
U 4.608 -5.839 1.424
U -0.447 -3.870 0.843
U 4.848 -3.802 -0.129
Si 2.555 -2.663 -1.551
Si 0.555 -3.362 -3.021
Si 1.847 -5.008 2.264
Si 3.847 -4.310 3.735
Ir 2.675 -2.533 -4.038
Ir 1.726 -5.139 4.752

Record 4
5
Lattice="4.338 0.000 0.000 0.000 4.780 0.000 0.000 0.000 4.338" Properties=species:S:1:pos:R:3 comment="GGA-PBE HfNbV2Ni, optimized geometry" vol_a3_per_cell=89.9 spacegroup="P4/mmm (123)" delta_e_f_kj_per_mol_atoms=68.1 magmom_total_mub_per_fu=0.00 pbc="T T T"
Ni 0.000 0.000 0.000
Nb 0.000 2.390 0.000
Hf 2.169 2.390 2.169
V 0.000 0.000 2.169
V 2.169 0.000 0.000